# LiTcB4 (PBE-GGA, relaxed)
data_LiTcB4
_symmetry_space_group_name_H-M 'P b a m'
_symmetry_Int_Tables_number 55
_symmetry_space_group_name_Hall '-P 2 2ab'
_cell_length_a 5.8966
_cell_length_b 11.3954
_cell_length_c 3.3360
_cell_angle_alpha 90.00
_cell_angle_beta 90.00
_cell_angle_gamma 90.00
loop_
_atom_site_label
_atom_site_fract_x
_atom_site_fract_y
_atom_site_fract_z
_atom_site_occupancy
Li1 0.1191 0.1527 0.0000 1
Tc1 0.1296 0.4149 0.0000 1
B1 0.0141 0.6995 0.5000 1
B2 0.1222 0.5525 0.5000 1
B3 0.1266 0.9675 0.5000 1
B4 0.1996 0.8128 0.5000 1
# total magnetic moment: 0.0 μB per formula unit
# energy above the lowest structure with this stoichiometry: 0.1354 eV per atom
# calculated total energy: -158.6 eV per cell